1:
Here is Y2AlZn after structural relaxation from Alexandria. Energies are from GGA-PBEsol.

Computed properties:
- D(E_F) (states/eV per atom) = 0.949
- magnetization (μB per atom) = 0.00
- crystal system = orthorhombic

```
Y2AlZn
1.0
4.386 0.000 0.000
0.000 1.855 5.697
0.000 -1.855 5.697
Y Al Zn
2 1 1
direct
0.000 0.000 0.000
0.500 0.306 0.306
0.500 0.587 0.587
0.000 0.721 0.721
```

---

2:
Here is Y2AlZn after structural relaxation from Alexandria. Energies are from GGA-PBEsol.

Computed properties:
- D(E_F) (states/eV per atom) = 0.671
- magnetization (μB per atom) = 0.00
- crystal system = cubic

```
Y2AlZn
1.0
0.000 3.548 3.548
3.548 0.000 3.548
3.548 3.548 0.000
Y Al Zn
2 1 1
direct
0.250 0.250 0.250
0.750 0.750 0.750
0.000 0.000 0.000
0.500 0.500 0.500
```

---

Which one sits at the bottom of the stability order? 1 does.

---

1:
Here is AlZn5 after structural relaxation from Alexandria. Energies are from GGA-PBEsol.

Computed properties:
- D(E_F) (states/eV per atom) = 0.282
- magnetization (μB per atom) = 0.00
- crystal system = monoclinic

```
AlZn5
1.0
5.291 -1.330 0.000
5.291 1.330 0.000
-2.596 0.000 6.248
Al Zn
1 5
direct
0.000 0.000 0.000
0.056 0.056 0.611
0.332 0.332 0.662
0.384 0.384 0.281
0.663 0.663 0.340
0.723 0.723 0.944
```

---

2:
Here is AlZn5 after structural relaxation from Alexandria. Energies are from GGA-PBEsol.

Computed properties:
- D(E_F) (states/eV per atom) = 0.313
- magnetization (μB per atom) = 0.00
- crystal system = tetragonal

```
AlZn5
1.0
2.744 0.000 0.000
0.000 2.744 0.000
0.000 0.000 11.576
Al Zn
1 5
direct
0.000 0.000 0.000
0.000 0.000 0.337
0.000 0.000 0.663
0.500 0.500 0.173
0.500 0.500 0.500
0.500 0.500 0.827
```

---

Which one sits at the bottom of the stability order? 1 does.

---

1:
Here is AlZn5 after structural relaxation from Alexandria. Energies are from GGA-PBEsol.

Computed properties:
- D(E_F) (states/eV per atom) = 0.250
- magnetization (μB per atom) = 0.00
- crystal system = orthorhombic

```
AlZn5
1.0
4.885 0.000 0.000
0.000 1.338 6.737
0.000 -1.338 6.737
Al Zn
1 5
direct
0.000 0.000 0.000
0.000 0.332 0.332
0.000 0.668 0.668
0.500 0.109 0.109
0.500 0.442 0.442
0.500 0.775 0.775
```

---

2:
Here is AlZn5 after structural relaxation from Alexandria. Energies are from GGA-PBEsol.

Computed properties:
- D(E_F) (states/eV per atom) = 0.302
- magnetization (μB per atom) = 0.00
- crystal system = orthorhombic

```
AlZn5
1.0
1.934 -5.814 0.000
1.934 5.814 0.000
0.000 0.000 3.885
Al Zn
1 5
direct
0.000 0.000 0.000
0.168 0.832 0.500
0.332 0.668 0.000
0.500 0.500 0.500
0.668 0.332 0.000
0.832 0.168 0.500
```

---

Which one sits at the bottom of the stability order? 1 does.

---

1:
Here is Al5Zn after structural relaxation from Alexandria. Energies are from GGA-PBEsol.

Computed properties:
- D(E_F) (states/eV per atom) = 0.408
- magnetization (μB per atom) = 0.00
- crystal system = orthorhombic

```
Al5Zn
1.0
4.647 0.000 0.000
0.000 1.443 7.182
0.000 -1.443 7.182
Al Zn
5 1
direct
0.000 0.000 0.000
0.000 0.330 0.330
0.500 0.111 0.111
0.500 0.443 0.443
0.500 0.776 0.776
0.000 0.664 0.664
```

---

2:
Here is Al5Zn after structural relaxation from Alexandria. Energies are from GGA-PBEsol.

Computed properties:
- D(E_F) (states/eV per atom) = 0.398
- magnetization (μB per atom) = 0.00
- crystal system = tetragonal

```
Al5Zn
1.0
2.825 0.000 0.000
0.000 2.825 0.000
0.000 0.000 11.906
Al Zn
5 1
direct
0.000 0.000 0.000
0.000 0.000 0.339
0.000 0.000 0.661
0.500 0.500 0.168
0.500 0.500 0.832
0.500 0.500 0.500
```

---

3:
Here is Al5Zn after structural relaxation from Alexandria. Energies are from GGA-PBEsol.

Computed properties:
- D(E_F) (states/eV per atom) = 0.405
- magnetization (μB per atom) = 0.00
- crystal system = orthorhombic

```
Al5Zn
1.0
1.989 -5.979 0.000
1.989 5.979 0.000
0.000 0.000 4.001
Al Zn
5 1
direct
0.000 0.000 0.000
0.165 0.835 0.500
0.334 0.666 0.000
0.666 0.334 0.000
0.835 0.165 0.500
0.500 0.500 0.500
```

---

Which one sits at the bottom of the stability order? 1 does.